Computed, not measured: DyAlFe after structural relaxation at the PBE level of DFT.

Structure (CIF):
```
data_DyAlFe
_symmetry_space_group_name_H-M 'F m m m'
_symmetry_Int_Tables_number 69
_symmetry_space_group_name_Hall '-F 2 2'
_cell_length_a 5.441
_cell_length_b 8.671
_cell_length_c 9.244
_cell_angle_alpha 90.00
_cell_angle_beta 90.00
_cell_angle_gamma 90.00
loop_
_atom_site_label
_atom_site_type_symbol
_atom_site_fract_x
_atom_site_fract_y
_atom_site_fract_z
Dy1 Dy 0.000 0.179 0.000
Al1 Al 0.000 0.000 0.320
Fe1 Fe 0.250 0.250 0.250
```

Results
The total energy is -5.6543 eV/atom. The mass density comes out at 7474 kg/m³. The calculation puts the total magnetic moment at 8.458 μB per cell.

Computed, not measured: DyAl2Fe9 after structural relaxation at the PBE level of DFT.

Structure (CIF):
```
data_DyAl2Fe9
_symmetry_space_group_name_H-M 'R -3 m'
_symmetry_Int_Tables_number 166
_symmetry_space_group_name_Hall '-R 3 2"'
_cell_length_a 4.8924
_cell_length_b 4.8924
_cell_length_c 23.1443
_cell_angle_alpha 90.00
_cell_angle_beta 90.00
_cell_angle_gamma 120.00
loop_
_atom_site_label
_atom_site_type_symbol
_atom_site_fract_x
_atom_site_fract_y
_atom_site_fract_z
Dy1 Dy 0.0000 0.0000 0.0000
Al1 Al 0.0000 0.0000 0.1430
Fe1 Fe 0.0000 0.0000 0.3343
Fe2 Fe 0.0000 0.0000 0.5000
Fe3 Fe 0.0071 0.5035 0.9124
```

Results
The total energy is -7.4444 eV/atom. The mass density comes out at 7466 kg/m³. The calculation puts the total magnetic moment at 51.825 μB per cell.

Computed, not measured: Dy6AlFe2 after structural relaxation at the PBE level of DFT.

Structure (CIF):
```
data_Dy6AlFe2
_symmetry_space_group_name_H-M 'I m m m'
_symmetry_Int_Tables_number 71
_symmetry_space_group_name_Hall '-I 2 2'
_cell_length_a 9.399
_cell_length_b 9.536
_cell_length_c 9.950
_cell_angle_alpha 90.00
_cell_angle_beta 90.00
_cell_angle_gamma 90.00
loop_
_atom_site_label
_atom_site_type_symbol
_atom_site_fract_x
_atom_site_fract_y
_atom_site_fract_z
Dy1 Dy 0.000 0.208 0.231
Dy2 Dy 0.204 0.500 0.187
Dy3 Dy 0.215 0.313 0.500
Al1 Al 0.000 0.000 0.000
Al2 Al 0.000 0.000 0.500
Fe1 Fe 0.000 0.383 0.000
Fe2 Fe 0.000 0.500 0.391
```

Results
The total energy is -5.4898 eV/atom. The mass density comes out at 8294 kg/m³. The calculation puts the total magnetic moment at 7.690 μB per cell.

Computed, not measured: DyAlFe after structural relaxation at the PBE level of DFT.

Structure (CIF):
```
data_DyAlFe
_symmetry_space_group_name_H-M 'A m m 2'
_symmetry_Int_Tables_number 38
_cell_length_a 8.702
_cell_length_b 5.391
_cell_length_c 9.196
_cell_angle_alpha 90.00
_cell_angle_beta 90.00
_cell_angle_gamma 90.00
loop_
_symmetry_equiv_pos_as_xyz
'x,y,z'
'-x,-y,z'
'-x,y,z'
'x,-y,z'
'x,y+1/2,z+1/2'
'-x,-y+1/2,z+1/2'
'-x,y+1/2,z+1/2'
'x,-y+1/2,z+1/2'
loop_
_atom_site_label
_atom_site_type_symbol
_atom_site_fract_x
_atom_site_fract_y
_atom_site_fract_z
Dy1 Dy 0.176 0.000 0.000
Dy2 Dy 0.304 0.000 0.665
Al1 Al 0.233 0.000 0.327
Al2 Al 0.500 0.248 0.919
Fe1 Fe 0.000 0.000 0.504
Fe2 Fe 0.000 0.232 0.742
Fe3 Fe 0.500 0.000 0.165
```

Results
The total energy is -5.8993 eV/atom. The mass density comes out at 7555 kg/m³. The calculation puts the total magnetic moment at 12.566 μB per cell.

Computed, not measured: DyAl9Fe2 after structural relaxation at the PBE level of DFT.

Structure (CIF):
```
data_DyAl9Fe2
_symmetry_space_group_name_H-M 'I 41/a m d'
_symmetry_Int_Tables_number 141
_cell_length_a 10.600
_cell_length_b 10.600
_cell_length_c 6.735
_cell_angle_alpha 90.00
_cell_angle_beta 90.00
_cell_angle_gamma 90.00
loop_
_symmetry_equiv_pos_as_xyz
'x,y,z'
'-x,-y,-z'
'-y+1/4,x+3/4,z+1/4'
'y+1/4,-x+3/4,-z+1/4'
'-x+1/2,-y,z+1/2'
'x+1/2,y,-z+1/2'
'y+1/4,-x+1/4,z+3/4'
'-y+1/4,x+1/4,-z+3/4'
'x,-y,-z'
'-x,y,z'
'-y+1/4,-x+1/4,-z+3/4'
'y+1/4,x+1/4,z+3/4'
'-x+1/2,y,-z+1/2'
'x+1/2,-y,z+1/2'
'y+1/4,x+3/4,-z+1/4'
'-y+1/4,-x+3/4,z+1/4'
'x+1/2,y+1/2,z+1/2'
'-x+1/2,-y+1/2,-z+1/2'
'-y+3/4,x+1/4,z+3/4'
'y+3/4,-x+1/4,-z+3/4'
'-x,-y+1/2,z'
'x,y+1/2,-z'
'y+3/4,-x+3/4,z+1/4'
'-y+3/4,x+3/4,-z+1/4'
'x+1/2,-y+1/2,-z+1/2'
'-x+1/2,y+1/2,z+1/2'
'-y+3/4,-x+3/4,-z+1/4'
'y+3/4,x+3/4,z+1/4'
'-x,y+1/2,-z'
'x,-y+1/2,z'
'y+3/4,x+1/4,-z+3/4'
'-y+3/4,-x+1/4,z+3/4'
loop_
_atom_site_label
_atom_site_type_symbol
_atom_site_fract_x
_atom_site_fract_y
_atom_site_fract_z
Dy1 Dy 0.000 0.250 0.375
Al1 Al 0.000 0.250 0.875
Al2 Al 0.122 0.052 0.691
Fe1 Fe 0.000 0.000 0.000
```

Results
The total energy is -4.9041 eV/atom. The mass density comes out at 4539 kg/m³. The calculation puts the total magnetic moment at 0.002 μB per cell.

Computed, not measured: Dy2AlFe3 after structural relaxation at the PBE level of DFT.

Structure (CIF):
```
data_Dy2AlFe3
_symmetry_space_group_name_H-M 'C 1 2/m 1'
_symmetry_Int_Tables_number 12
_cell_length_a 9.018
_cell_length_b 5.213
_cell_length_c 5.196
_cell_angle_alpha 90.00
_cell_angle_beta 125.18
_cell_angle_gamma 90.00
loop_
_symmetry_equiv_pos_as_xyz
'x,y,z'
'-x,-y,-z'
'-x,y,-z'
'x,-y,z'
'x+1/2,y+1/2,z'
'-x+1/2,-y+1/2,-z'
'-x+1/2,y+1/2,-z'
'x+1/2,-y+1/2,z'
loop_
_atom_site_label
_atom_site_type_symbol
_atom_site_fract_x
_atom_site_fract_y
_atom_site_fract_z
Dy1 Dy 0.122 0.000 0.378
Al1 Al 0.000 0.500 0.000
Fe1 Fe 0.000 0.500 0.500
Fe2 Fe 0.250 0.250 0.000
```

Results
The total energy is -6.5644 eV/atom. The mass density comes out at 8642 kg/m³. The calculation puts the total magnetic moment at 8.115 μB per cell.

Computed, not measured: GdDyAlFe after structural relaxation at the PBE level of DFT.

Structure (CIF):
```
data_GdDyAlFe
_symmetry_space_group_name_H-M 'F -4 3 m'
_symmetry_Int_Tables_number 216
_symmetry_space_group_name_Hall 'F -4 2 3'
_cell_length_a 7.068
_cell_length_b 7.068
_cell_length_c 7.068
_cell_angle_alpha 90.00
_cell_angle_beta 90.00
_cell_angle_gamma 90.00
loop_
_atom_site_label
_atom_site_type_symbol
_atom_site_fract_x
_atom_site_fract_y
_atom_site_fract_z
Gd1 Gd 0.000 0.000 0.000
Dy1 Dy 0.000 0.000 0.500
Al1 Al 0.250 0.250 0.750
Fe1 Fe 0.250 0.250 0.250
```

Results
The total energy is -7.7925 eV/atom. The mass density comes out at 7572 kg/m³. The calculation puts the total magnetic moment at 22.518 μB per cell.

Computed, not measured: DyAl2Fe2Ge after structural relaxation at the PBE level of DFT.

Structure (CIF):
```
data_DyAl2Fe2Ge
_symmetry_space_group_name_H-M 'P 4/m m m'
_symmetry_Int_Tables_number 123
_symmetry_space_group_name_Hall '-P 4 2'
_cell_length_a 4.381
_cell_length_b 4.381
_cell_length_c 5.561
_cell_angle_alpha 90.00
_cell_angle_beta 90.00
_cell_angle_gamma 90.00
loop_
_atom_site_label
_atom_site_type_symbol
_atom_site_fract_x
_atom_site_fract_y
_atom_site_fract_z
Dy1 Dy 0.000 0.000 0.000
Al1 Al 0.500 0.500 0.247
Fe1 Fe 0.000 0.500 0.500
Ge1 Ge 0.000 0.000 0.500
```

Results
The total energy is -5.7364 eV/atom. The mass density comes out at 6235 kg/m³. The calculation puts the total magnetic moment at 2.870 μB per cell.

Computed, not measured: DyAlFeGe2 after structural relaxation at the PBE level of DFT.

Structure (CIF):
```
data_DyAlFeGe2
_symmetry_space_group_name_H-M 'P m m a'
_symmetry_Int_Tables_number 51
_cell_length_a 5.516
_cell_length_b 5.594
_cell_length_c 5.598
_cell_angle_alpha 90.00
_cell_angle_beta 90.00
_cell_angle_gamma 90.00
loop_
_symmetry_equiv_pos_as_xyz
'x,y,z'
'-x,-y,-z'
'-x+1/2,-y,z'
'x+1/2,y,-z'
'x+1/2,-y,-z'
'-x+1/2,y,z'
'-x,y,-z'
'x,-y,z'
loop_
_atom_site_label
_atom_site_type_symbol
_atom_site_fract_x
_atom_site_fract_y
_atom_site_fract_z
Dy1 Dy 0.250 0.000 0.219
Al1 Al 0.250 0.500 0.354
Fe1 Fe 0.000 0.500 0.000
Ge1 Ge 0.250 0.245 0.741
```

Results
The total energy is -5.6385 eV/atom. The mass density comes out at 7510 kg/m³. The calculation puts the total magnetic moment at 0.153 μB per cell.

Computed, not measured: DyHoAlFe after structural relaxation at the PBE level of DFT.

Structure (CIF):
```
data_DyHoAlFe
_symmetry_space_group_name_H-M 'F -4 3 m'
_symmetry_Int_Tables_number 216
_symmetry_space_group_name_Hall 'F -4 2 3'
_cell_length_a 7.016
_cell_length_b 7.016
_cell_length_c 7.016
_cell_angle_alpha 90.00
_cell_angle_beta 90.00
_cell_angle_gamma 90.00
loop_
_atom_site_label
_atom_site_type_symbol
_atom_site_fract_x
_atom_site_fract_y
_atom_site_fract_z
Dy1 Dy 0.000 0.000 0.000
Ho1 Ho 0.000 0.000 0.500
Al1 Al 0.250 0.250 0.250
Fe1 Fe 0.250 0.250 0.750
```

Results
The total energy is -5.4230 eV/atom. The mass density comes out at 7889 kg/m³. The calculation puts the total magnetic moment at 5.556 μB per cell.

Computed, not measured: La2DyAl12Fe3 after structural relaxation at the PBE level of DFT.

Structure (CIF):
```
data_La2DyAl12Fe3
_symmetry_space_group_name_H-M 'R -3 m'
_symmetry_Int_Tables_number 166
_symmetry_space_group_name_Hall '-R 3 2"'
_cell_length_a 8.5514
_cell_length_b 8.5514
_cell_length_c 18.9796
_cell_angle_alpha 90.00
_cell_angle_beta 90.00
_cell_angle_gamma 120.00
loop_
_atom_site_label
_atom_site_type_symbol
_atom_site_fract_x
_atom_site_fract_y
_atom_site_fract_z
La1 La 0.0000 0.0000 0.0817
Dy1 Dy 0.0000 0.0000 0.5000
Al1 Al 0.0904 0.5452 0.8841
Al2 Al 0.1017 0.5509 0.3204
Fe1 Fe 0.0000 0.5000 0.0000
```

Results
The total energy is -4.6070 eV/atom. The mass density comes out at 3861 kg/m³. The calculation puts the total magnetic moment at 0.001 μB per cell.

Computed, not measured: LiDyAlFe after structural relaxation at the PBE level of DFT.

Structure (CIF):
```
data_LiDyAlFe
_symmetry_space_group_name_H-M 'F -4 3 m'
_symmetry_Int_Tables_number 216
_symmetry_space_group_name_Hall 'F -4 2 3'
_cell_length_a 6.519
_cell_length_b 6.519
_cell_length_c 6.519
_cell_angle_alpha 90.00
_cell_angle_beta 90.00
_cell_angle_gamma 90.00
loop_
_atom_site_label
_atom_site_type_symbol
_atom_site_fract_x
_atom_site_fract_y
_atom_site_fract_z
Li1 Li 0.000 0.000 0.000
Dy1 Dy 0.250 0.250 0.250
Al1 Al 0.250 0.250 0.750
Fe1 Fe 0.000 0.000 0.500
```

Results
The total energy is -4.7111 eV/atom. The mass density comes out at 6048 kg/m³. The calculation puts the total magnetic moment at 10.567 μB per cell.

Computed, not measured: Dy5Mg5Al12Fe4Si6 after structural relaxation at the PBE level of DFT.

Structure (CIF):
```
data_Dy5Mg5Al12Fe4Si6
_symmetry_space_group_name_H-M 'P 4/m m m'
_symmetry_Int_Tables_number 123
_symmetry_space_group_name_Hall '-P 4 2'
_cell_length_a 11.864
_cell_length_b 11.864
_cell_length_c 3.992
_cell_angle_alpha 90.00
_cell_angle_beta 90.00
_cell_angle_gamma 90.00
loop_
_atom_site_label
_atom_site_type_symbol
_atom_site_fract_x
_atom_site_fract_y
_atom_site_fract_z
Dy1 Dy 0.000 0.000 0.000
Dy2 Dy 0.253 0.500 0.000
Mg1 Mg 0.202 0.202 0.000
Mg2 Mg 0.500 0.500 0.500
Al1 Al 0.113 0.373 0.500
Al2 Al 0.331 0.331 0.500
Fe1 Fe 0.000 0.305 0.000
Si1 Si 0.000 0.189 0.500
Si2 Si 0.000 0.500 0.000
```

Results
The calculation puts the formation energy without anion corrections at -0.3758 eV/atom. The total energy is -4.8221 eV/atom. The mass density comes out at 4875 kg/m³. The calculation puts the total magnetic moment at 0.000 μB per cell.

Computed, not measured: Dy2MnAl12Fe3 after structural relaxation at the PBE level of DFT.

Structure (CIF):
```
data_Dy2MnAl12Fe3
_symmetry_space_group_name_H-M 'R -3 m'
_symmetry_Int_Tables_number 166
_symmetry_space_group_name_Hall '-R 3 2"'
_cell_length_a 8.6774
_cell_length_b 8.6774
_cell_length_c 17.1811
_cell_angle_alpha 90.00
_cell_angle_beta 90.00
_cell_angle_gamma 120.00
loop_
_atom_site_label
_atom_site_type_symbol
_atom_site_fract_x
_atom_site_fract_y
_atom_site_fract_z
Dy1 Dy 0.0000 0.0000 0.0962
Mn1 Mn 0.0000 0.0000 0.5000
Al1 Al 0.0091 0.5046 0.8661
Al2 Al 0.0715 0.5357 0.3011
Fe1 Fe 0.0000 0.5000 0.0000
```

Results
The total energy is -4.6484 eV/atom. The mass density comes out at 3874 kg/m³. The calculation puts the total magnetic moment at 19.559 μB per cell.

Computed, not measured: Nd2DyAl12Fe3 after structural relaxation at the PBE level of DFT.

Structure (CIF):
```
data_Nd2DyAl12Fe3
_symmetry_space_group_name_H-M 'R -3 m'
_symmetry_Int_Tables_number 166
_symmetry_space_group_name_Hall '-R 3 2"'
_cell_length_a 8.5520
_cell_length_b 8.5520
_cell_length_c 18.7247
_cell_angle_alpha 90.00
_cell_angle_beta 90.00
_cell_angle_gamma 120.00
loop_
_atom_site_label
_atom_site_type_symbol
_atom_site_fract_x
_atom_site_fract_y
_atom_site_fract_z
Nd1 Nd 0.0000 0.0000 0.0830
Dy1 Dy 0.0000 0.0000 0.5000
Al1 Al 0.0897 0.5448 0.8828
Al2 Al 0.0976 0.5488 0.3207
Fe1 Fe 0.0000 0.5000 0.0000
```

Results
The total energy is -4.5609 eV/atom. The mass density comes out at 3958 kg/m³. The calculation puts the total magnetic moment at 0.001 μB per cell.

Computed, not measured: Dy2AlFe2Ni5 after structural relaxation at the PBE level of DFT.

Structure (CIF):
```
data_Dy2AlFe2Ni5
_symmetry_space_group_name_H-M 'P 4/m b m'
_symmetry_Int_Tables_number 127
_symmetry_space_group_name_Hall '-P 4 2ab'
_cell_length_a 8.964
_cell_length_b 8.964
_cell_length_c 3.654
_cell_angle_alpha 90.00
_cell_angle_beta 90.00
_cell_angle_gamma 90.00
loop_
_atom_site_label
_atom_site_type_symbol
_atom_site_fract_x
_atom_site_fract_y
_atom_site_fract_z
Dy1 Dy 0.179 0.321 0.000
Al1 Al 0.000 0.000 0.000
Fe1 Fe 0.119 0.619 0.000
Ni1 Ni 0.000 0.500 0.500
Ni2 Ni 0.060 0.793 0.500
```

Results
The total energy is -6.0840 eV/atom. The mass density comes out at 8565 kg/m³. The calculation puts the total magnetic moment at 11.814 μB per cell.